The following is a DFT calculation (GGA-PBE) of an optimized crystal structure of LaNdAg2Te4.

Unit cell a=7.673 b=6.951 c=6.951 alpha=67.78 beta=56.50 gamma=56.50
Positions (direct):
La: 0.000 0.000 0.000
Nd: 0.500 0.500 0.500
Ag: 0.163 0.337 0.337
Ag: 0.837 0.663 0.663
Te: 0.451 0.064 0.553
Te: 0.067 0.936 0.447
Te: 0.933 0.553 0.064
Te: 0.549 0.447 0.936

Total moment (μB/atom): 0.00
VASP energy (eV/atom): -4.310
Symmetry: I222 (23)